(1)
Li3MnVP2H2O10 (SCAN, single point on PBEsol structure); final energy = -9.311 eV/atom; space group = P1 (1)
1.0
5.1976 0.0000 0.0000
-0.6091 5.3548 0.0000
-2.4318 -2.3962 6.5616
Li Mn V P H O
3 1 1 2 2 10
direct
0.0000 0.0000 0.0000 Li
0.2302 0.2292 0.8198 Li
0.6955 0.4283 0.2929 Li
0.4903 0.8403 0.1500 Mn
0.4914 0.8450 0.6416 V
0.1677 0.2263 0.3891 P
0.8126 0.4794 0.9202 P
0.1513 0.7457 0.7767 H
0.8461 0.8966 0.4882 H
0.1012 0.6191 0.0861 O
0.1752 0.5178 0.4993 O
0.2268 0.0751 0.5444 O
0.3168 0.8956 0.8589 O
0.3665 0.1959 0.2734 O
0.5826 0.4698 0.0095 O
0.6524 0.7865 0.4298 O
0.7530 0.6454 0.7756 O
0.8252 0.1890 0.8085 O
0.8662 0.1055 0.2254 O

(2)
ScCu2Si (SCAN, single point on PBEsol structure); raw formation energy = -184 meV/atom; final energy = -13.847 eV/atom; space group = P4mm (99)
1.0
3.0138 0.0000 0.0000
0.0000 3.0138 0.0000
0.0000 0.0000 6.2103
Sc Cu Si
1 2 1
direct
0.0000 0.0000 0.0000 Sc
0.0000 0.0000 0.5021 Cu
0.5000 0.5000 0.7120 Cu
0.5000 0.5000 0.3033 Si